a.
This record from the Alexandria database describes a relaxed structure of CaRu2Pt. The functional is PBE-GGA.

Cell and atoms, written as POSCAR:
```
CaRu2Pt
1.0
-4.7531 -0.6145 1.0471
-2.1936 -1.5783 -4.0942
3.8870 -1.6061 2.5253
Ru Ca Pt
2 1 1
Cartesian
-0.0725 -0.0229 -0.0318
-0.8052 -2.1136 -1.5091
-3.4420 -1.0865 -1.5099
-2.2133 -1.6723 1.0053
```

=====

b.
This record from the Alexandria database describes a relaxed structure of CaRu2Pt. The functional is PBE-GGA.

Cell and atoms, written as POSCAR:
```
CaRu2Pt
1.0
3.2550 0.0000 0.0000
0.0000 3.2550 0.0000
0.0000 0.0000 6.7381
Ru Ca Pt
2 1 1
Cartesian
0.0000 0.0000 6.3987
0.0000 0.0000 3.7085
1.6275 1.6275 1.6845
1.6275 1.6275 5.0536
```

=====

c.
This record from the Alexandria database describes a relaxed structure of CaRu2Pt. The functional is PBE-GGA.

Cell and atoms, written as POSCAR:
```
CaRu2Pt
1.0
-4.0582 0.0585 3.0046
-3.7346 -2.8999 -1.7729
4.9231 -0.7754 0.8136
Ru Ca Pt
2 1 1
Cartesian
0.0000 0.0000 0.0000
-3.8964 -1.4207 0.6159
-1.3540 -2.5480 -0.1717
-1.5157 -1.0688 2.2170
```

=====

d.
This record from the Alexandria database describes a relaxed structure of CaRu2Pt. The functional is PBE-GGA.

Cell and atoms, written as POSCAR:
```
CaRu2Pt
1.0
4.5858 0.0000 0.0000
2.2929 3.9714 0.0000
2.2929 1.3238 3.7443
Ru Ca Pt
2 1 1
Cartesian
0.0000 0.0000 0.0000
2.2929 1.3238 0.9361
4.5858 2.6476 1.8721
6.8787 3.9714 2.8082
```

=====

Question: which arrangement is favored energetically? Ranking from most to least stable: a, c, d, b.

=====

a.
This record from the Alexandria database describes a relaxed structure of CaRu2Pt. The functional is PBE-GGA.

Cell and atoms, written as POSCAR:
```
CaRu2Pt
1.0
-2.8174 -1.9394 -2.9960
-4.2110 1.6268 -0.5435
-1.1137 2.1943 -3.8235
Ru Ca Pt
2 1 1
Cartesian
-2.0355 0.4704 -1.8407
-6.1066 1.4113 -5.5222
0.0000 0.0000 0.0000
-4.0710 0.9409 -3.6815
```

=====

b.
This record from the Alexandria database describes a relaxed structure of CaRu2Pt. The functional is PBE-GGA.

Cell and atoms, written as POSCAR:
```
CaRu2Pt
1.0
-4.4248 -1.9846 0.0092
1.1230 -2.5006 0.6981
-0.2598 0.6019 4.9207
Ru Ca Pt
2 1 1
Cartesian
0.7926 -1.7419 5.4824
0.5022 -1.1061 2.9459
-1.9966 -1.4670 1.4093
-1.5650 -2.4163 4.2187
```

=====

Question: which arrangement is favored energetically? Ranking from most to least stable: b, a.

=====

a.
This record from the Alexandria database describes a relaxed structure of CaRuPt. The functional is PBE-GGA.

Cell and atoms, written as POSCAR:
```
CaRuPt
1.0
4.6408 0.0000 0.0000
-2.3204 4.0190 0.0000
0.0000 0.0000 2.9436
Ru Ca Pt
1 1 1
Cartesian
0.0000 2.6793 1.4723
0.0000 0.0000 2.9430
2.3204 1.3397 1.4720
```

=====

b.
This record from the Alexandria database describes a relaxed structure of CaRuPt. The functional is PBE-GGA.

Cell and atoms, written as POSCAR:
```
CaRuPt
1.0
-2.8500 3.4294 -0.4765
-4.3488 -0.5506 0.9462
-1.7726 1.9622 3.6219
Ru Ca Pt
1 1 1
Cartesian
-4.4857 2.4205 2.0459
-6.7286 3.6307 3.0688
0.0000 0.0000 0.0000
```

=====

c.
This record from the Alexandria database describes a relaxed structure of CaRuPt. The functional is PBE-GGA.

Cell and atoms, written as POSCAR:
```
CaRuPt
1.0
-5.8118 -2.7987 -1.9746
-5.9170 -3.1100 0.9090
-1.8550 2.2255 0.1727
Ru Ca Pt
1 1 1
Cartesian
-8.5928 -3.3252 -0.6723
-11.7285 -5.9085 -1.0656
-4.9916 -0.3585 -0.2207
```

=====

Question: which arrangement is favored energetically? Ranking from most to least stable: a, c, b.

=====

a.
This record from the Alexandria database describes a relaxed structure of CaRuPt. The functional is PBE-GGA.

Cell and atoms, written as POSCAR:
```
CaRuPt
1.0
-3.4419 -1.4916 -2.5617
-0.1357 -4.3460 -1.3144
-3.0964 -2.8127 1.7706
Ru Ca Pt
1 1 1
Cartesian
0.0000 0.0000 0.0000
-3.3370 -4.3252 -1.0527
-5.0054 -6.4877 -1.5791
```

=====

b.
This record from the Alexandria database describes a relaxed structure of CaRuPt. The functional is PBE-GGA.

Cell and atoms, written as POSCAR:
```
CaRuPt
1.0
2.9587 0.0000 0.0000
-1.4794 2.5623 0.0000
0.0000 0.0000 7.0605
Ru Ca Pt
1 1 1
Cartesian
0.0000 1.7082 4.6087
0.0000 0.0000 7.0596
1.4794 0.8541 2.4536
```

=====

c.
This record from the Alexandria database describes a relaxed structure of CaRuPt. The functional is PBE-GGA.

Cell and atoms, written as POSCAR:
```
CaRuPt
1.0
-1.1935 -4.7517 -2.7280
3.5878 -4.0522 -1.4672
-2.3809 3.2021 3.9399
Ru Ca Pt
1 1 1
Cartesian
1.7040 -6.2655 -2.9857
2.3898 -8.7873 -4.1874
0.6948 -2.5549 -1.2175
```

=====

Question: which arrangement is favored energetically? Ranking from most to least stable: c, a, b.

=====

a.
This record from the Alexandria database describes a relaxed structure of CaRu3Pt. The functional is PBE-GGA.

Cell and atoms, written as POSCAR:
```
CaRu3Pt
1.0
4.5871 0.0000 0.0000
0.0000 4.5871 0.0000
0.0000 0.0000 4.5871
Ru Ca Pt
3 1 1
Cartesian
0.0000 2.2936 0.0000
0.0000 0.0000 2.2936
2.2936 0.0000 0.0000
0.0000 0.0000 0.0000
2.2936 2.2936 2.2936
```

=====

b.
This record from the Alexandria database describes a relaxed structure of CaRu3Pt. The functional is PBE-GGA.

Cell and atoms, written as POSCAR:
```
CaRu3Pt
1.0
-0.9104 2.3222 4.1453
4.0245 -1.8668 1.9296
2.5258 3.8115 -1.5804
Ru Ca Pt
3 1 1
Cartesian
2.0122 -0.9334 0.9648
1.2629 1.9057 -0.7902
-0.4552 1.1611 2.0727
2.8199 2.1334 2.2473
0.0000 0.0000 0.0000
```

=====

Question: which arrangement is favored energetically? Ranking from most to least stable: b, a.

=====

a.
This record from the Alexandria database describes a relaxed structure of CaTeRu2Pt. The functional is PBE-GGA.

Cell and atoms, written as POSCAR:
```
CaTeRu2Pt
1.0
4.8215 0.0000 0.0000
0.0000 5.3677 0.0000
0.0000 0.0000 4.8215
Ru Ca Te Pt
2 1 1 1
Cartesian
0.0000 0.0000 2.4108
2.4108 0.0000 0.0000
2.4108 2.6838 2.4108
0.0000 2.6838 0.0000
0.0000 0.0000 0.0000
```

=====

b.
This record from the Alexandria database describes a relaxed structure of CaTeRu2Pt. The functional is PBE-GGA.

Cell and atoms, written as POSCAR:
```
CaTeRu2Pt
1.0
-4.7562 0.4496 0.9069
0.1281 -4.1854 2.7473
1.0045 2.6323 3.9633
Ru Ca Te Pt
2 1 1 1
Cartesian
0.5023 1.3161 1.9817
-2.3781 0.2248 0.4534
-1.8118 -0.5517 3.8087
0.0000 0.0000 0.0000
0.0641 -2.0927 1.3736
```

=====

Question: which arrangement is favored energetically? Ranking from most to least stable: b, a.